# 1
Entry from Alexandria: crystalline TlCr2Sn2 at its relaxed geometry (PBE). Values from VASP.

Structure (Quantum ESPRESSO input):
```
&SYSTEM
  ibrav = 0, nat = 5, ntyp = 3
/
ATOMIC_SPECIES
Cr 52.00 Cr.upf
Tl 204.38 Tl.upf
Sn 118.71 Sn.upf
ATOMIC_POSITIONS crystal
Cr 0.750 0.250 0.500
Cr 0.250 0.750 0.500
Tl 0.000 0.000 0.000
Sn 0.361 0.361 0.279
Sn 0.639 0.639 0.721
CELL_PARAMETERS angstrom
3.293 0.000 0.000
0.000 3.293 0.000
1.647 1.647 10.292
```

Results
magnetization	0.000	μB/f.u.
V	22.3	Å³/atom
calculated formation energy	1.738	eV per formula unit
calculated total energy	-5.5762	eV/atom
E above lowest polymorph	0	meV/atom

# 2
Entry from Alexandria: crystalline TlCr2Sn2 at its relaxed geometry (PBE). Values from VASP.

Structure (Quantum ESPRESSO input):
```
&SYSTEM
  ibrav = 0, nat = 10, ntyp = 3
/
ATOMIC_SPECIES
Cr 52.00 Cr.upf
Tl 204.38 Tl.upf
Sn 118.71 Sn.upf
ATOMIC_POSITIONS crystal
Cr 0.084 0.584 0.500
Cr 0.584 0.916 0.500
Cr 0.916 0.416 0.500
Cr 0.416 0.084 0.500
Tl 0.000 0.000 0.000
Tl 0.500 0.500 0.000
Sn 0.317 0.817 0.000
Sn 0.817 0.683 0.000
Sn 0.683 0.183 0.000
Sn 0.183 0.317 0.000
CELL_PARAMETERS angstrom
8.500 0.000 0.000
0.000 8.500 0.000
0.000 0.000 2.945
```

Results
magnetization	0.022	μB/f.u.
V	21.3	Å³/atom
calculated formation energy	2.712	eV per formula unit
calculated total energy	-5.3813	eV/atom
E above lowest polymorph	195	meV/atom

# 3
Entry from Alexandria: crystalline Tl3CrSn at its relaxed geometry (PBE). Values from VASP.

Structure (Quantum ESPRESSO input):
```
&SYSTEM
  ibrav = 0, nat = 5, ntyp = 3
/
ATOMIC_SPECIES
Cr 52.00 Cr.upf
Tl 204.38 Tl.upf
Sn 118.71 Sn.upf
ATOMIC_POSITIONS crystal
Cr 0.000 0.000 0.000
Tl 0.000 0.500 0.000
Tl 0.000 0.000 0.500
Tl 0.500 0.000 0.000
Sn 0.500 0.500 0.500
CELL_PARAMETERS angstrom
-4.186 -0.312 -3.284
-0.756 -5.074 1.446
-3.211 1.601 3.941
```

Results
magnetization	3.426	μB/f.u.
V	30.3	Å³/atom
calculated formation energy	2.673	eV per formula unit
calculated total energy	-3.6103	eV/atom
E above lowest polymorph	0	meV/atom